(1)
A crystal of Ti3Cu2SnP6O24 relaxed with PBEsol, computed with SCAN.

Cell: 8.6186 8.6186 20.9032 Å, 90.00 90.00 120.00°
Space group R3 (No. 146, hexagonal axes)
Inequivalent atoms, fractional coordinates:
Ti (0.0000, 0.0000, 0.0000)
Ti (0.0000, 0.0000, 0.2183)
Ti (0.0000, 0.0000, 0.7184)
Cu (0.0000, 0.0000, 0.3520)
Cu (0.0000, 0.0000, 0.8597)
Sn (0.0000, 0.0000, 0.4987)
P (0.0012, 0.2927, 0.6091)
P (0.0462, 0.6696, 0.7752)
O (0.0005, 0.1854, 0.6677)
O (0.0120, 0.2065, 0.5466)
O (0.0203, 0.8344, 0.7792)
O (0.0279, 0.1898, 0.2786)
O (0.1456, 0.6678, 0.8359)
O (0.1530, 0.6772, 0.7157)
O (0.1632, 0.4848, 0.6075)
O (0.1692, 0.6961, 0.1011)

Total DFT energy (no corrections) = -1245.06 eV/cell
M_tot = 0.47 μB per cell
Mass density = 3.6 g/cm3
Uncorrected formation energy = -2.463 eV/atom

=====

(2)
A crystal of K3NaMnCl6 relaxed with PBEsol, computed with SCAN.

Cell: 11.9189 11.9189 13.7915 Å, 90.00 90.00 120.00°
Space group R-3c (No. 167, hexagonal axes)
Inequivalent atoms, fractional coordinates:
K (0.0000, 0.3777, 0.2500)
Na (0.0000, 0.0000, 0.2500)
Mn (0.0000, 0.0000, 0.0000)
Cl (0.0273, 0.1814, 0.3916)

Total DFT energy (no corrections) = -705.42 eV/cell
M_tot = 30.00 μB per cell
Mass density = 2.4 g/cm3
Uncorrected formation energy = -2.022 eV/atom

=====

(3)
A crystal of BaCo2Ni relaxed with PBEsol, computed with SCAN.

Cell: 3.919 3.919 4.196 Å, 90.00 90.00 90.00°
Space group P4/mmm (No. 123)
Inequivalent atoms, fractional coordinates:
Ba (0.000, 0.000, 0.000)
Co (0.000, 0.500, 0.500)
Ni (0.500, 0.500, 0.000)

Calculated formation energy = 988 meV per atom
Total DFT energy (no corrections) = -86.38 eV/cell
Relative energy among the computed polymorphs = 0 meV per atom
M_tot = 3.02 μB per cell
Mass density = 8.1 g/cm3

=====

(4)
A crystal of AlAg2AsPd relaxed with PBEsol, computed with SCAN.

Cell: 4.812 4.812 4.680 Å, 90.00 90.00 90.00°
Space group P4/mmm (No. 123)
Inequivalent atoms, fractional coordinates:
Al (0.000, 0.000, 0.000)
Ag (0.000, 0.500, 0.500)
As (0.500, 0.500, 0.500)
Pd (0.500, 0.500, 0.000)

Calculated formation energy = 384 meV per atom
Total DFT energy (no corrections) = -121.53 eV/cell
M_tot = 0.00 μB per cell
Mass density = 6.5 g/cm3

=====

(5)
A crystal of Cu3SiAg relaxed with PBEsol, computed with SCAN.

Cell: 4.313 4.313 4.313 Å, 90.00 90.00 90.00°
Space group Pm-3m (No. 221)
Inequivalent atoms, fractional coordinates:
Cu (0.000, 0.000, 0.500)
Si (0.000, 0.000, 0.000)
Ag (0.500, 0.500, 0.500)

Total DFT energy (no corrections) = -84.55 eV/cell
M_tot = 0.00 μB per cell
Mass density = 6.8 g/cm3
Uncorrected formation energy = 0.486 eV/atom

=====

(6)
A crystal of YCo2Pb relaxed with PBEsol, computed with SCAN.

Cell: 6.577 6.577 6.577 Å, 90.00 90.00 90.00°
Space group F-43m (No. 216)
Inequivalent atoms, fractional coordinates:
Y (0.000, 0.000, 0.000)
Co (0.000, 0.000, 0.500)
Co (0.250, 0.250, 0.250)
Pb (0.250, 0.250, 0.750)

Calculated formation energy = 134 meV per atom
Total DFT energy (no corrections) = -550.78 eV/cell
M_tot = 14.29 μB per cell
Mass density = 9.7 g/cm3

=====

(7)
A crystal of RbNbCl6 relaxed with PBEsol, computed with SCAN.

Cell: 11.861 6.249 12.005 Å, 90.00 101.60 90.00°
Space group C2/c (No. 15)
Inequivalent atoms, fractional coordinates:
Rb (0.000, 0.095, 0.250)
Nb (0.250, 0.250, 0.000)
Cl (0.078, 0.398, 0.894)
Cl (0.147, 0.059, 0.535)
Cl (0.213, 0.410, 0.168)

Total DFT energy (no corrections) = -459.21 eV/cell
M_tot = 0.00 μB per cell
Mass density = 3.0 g/cm3
Uncorrected formation energy = -1.633 eV/atom

=====

(8)
A crystal of MoPbO4 relaxed with PBEsol, computed with SCAN.

Cell: 5.423 5.423 11.956 Å, 90.00 90.00 90.00°
Space group I4_1/a (No. 88, origin choice 2)
Inequivalent atoms, fractional coordinates:
Mo (0.000, 0.250, 0.125)
Pb (0.000, 0.250, 0.625)
O (0.141, 0.484, 0.207)

Total DFT energy (no corrections) = -589.16 eV/cell
M_tot = 0.00 μB per cell
Mass density = 6.9 g/cm3
Uncorrected formation energy = -1.950 eV/atom